Entry 1:
{
  "formula": "SbP2Os",
  "functional": "PBE",
  "state": "relaxed",
  "vol_a3_per_cell": 65.6,
  "e_tot_ev_per_fu": -23.27,
  "e_form_raw_ev_per_atom": 0.7254,
  "cell": [[-2.1234, 2.1234, 3.6384], [2.1234, -2.1234, 3.6384], [2.1234, 2.1234, -3.6384]],
  "species": ["Sb", "P", "P", "Os"],
  "frac_coords": [[0.0000, 0.0000, 0.0000], [0.5000, 0.5000, 0.0000], [0.7500, 0.2500, 0.5000], [0.2500, 0.7500, 0.5000]]
}

=====

Entry 2:
{
  "formula": "SiOs2Pt",
  "functional": "PBE",
  "state": "relaxed",
  "vol_a3_per_cell": 56.1,
  "e_tot_ev_per_fu": -34.07,
  "e_form_raw_ev_per_atom": -0.0360,
  "cell": [[2.8878, 0.0000, 0.0000], [0.0000, 2.8878, 0.0000], [0.0000, 0.0000, 6.7327]],
  "species": ["Si", "Os", "Os", "Pt"],
  "frac_coords": [[0.0000, 0.0000, 0.0000], [0.5000, 0.5000, 0.2099], [0.5000, 0.5000, 0.7901], [0.0000, 0.0000, 0.5000]]
}